GGA-PBEsol Mg2Sc, relaxed; M_tot = 0.000 μB per atom; calculated formation energy = -0.02 eV/atom; D(E_F) = 11.8 states/eV per cell; electronic total energy = -3.362 eV/atom
1.0
-2.259 2.259 13.327
2.259 -2.259 13.327
2.259 2.259 -13.327
Mg Sc
8 4
direct
0.124 0.374 0.750 Mg
0.291 0.541 0.750 Mg
0.374 0.124 0.250 Mg
0.459 0.709 0.750 Mg
0.541 0.291 0.250 Mg
0.626 0.876 0.750 Mg
0.709 0.459 0.250 Mg
0.876 0.626 0.250 Mg
0.042 0.792 0.250 Sc
0.208 0.958 0.250 Sc
0.792 0.042 0.750 Sc
0.958 0.208 0.750 Sc